1 | First-principles (PBE) data for crystalline Co5H at its relaxed geometry, as listed in Alexandria via LeMat-Bulk.

## Properties
Theoretical density   8.61 g/cm3

```
data_Co5H
_chemical_formula_sum 'Co10 H2'
_symmetry_space_group_name_H-M 'P 1 21/m 1'
_symmetry_Int_Tables_number 11
_symmetry_space_group_name_Hall '-P 2yb'
_cell_length_a 2.499
_cell_length_b 4.980
_cell_length_c 9.251
_cell_angle_alpha 90.00
_cell_angle_beta 97.73
_cell_angle_gamma 90.00
loop_
_atom_site_label
_atom_site_type_symbol
_atom_site_fract_x
_atom_site_fract_y
_atom_site_fract_z
Co1 Co 0.000 0.000 0.000
Co2 Co 0.192 0.000 0.382
Co3 Co 0.403 0.250 0.807
Co4 Co 0.404 0.750 0.809
H1 H 0.267 0.750 0.533
```



2 | First-principles (PBE) data for crystalline Co5H at its relaxed geometry, as listed in Alexandria via LeMat-Bulk.

## Properties
Theoretical density   8.59 g/cm3

```
data_Co5H
_chemical_formula_sum 'Co10 H2'
_symmetry_space_group_name_H-M 'C m m m'
_symmetry_Int_Tables_number 65
_symmetry_space_group_name_Hall '-C 2 2'
_cell_length_a 4.126
_cell_length_b 11.156
_cell_length_c 2.485
_cell_angle_alpha 90.00
_cell_angle_beta 90.00
_cell_angle_gamma 90.00
loop_
_atom_site_label
_atom_site_type_symbol
_atom_site_fract_x
_atom_site_fract_y
_atom_site_fract_z
Co1 Co 0.000 0.000 0.000
Co2 Co 0.000 0.191 0.500
Co3 Co 0.000 0.382 0.000
H1 H 0.000 0.500 0.500
```



Verdict on stability: 2 comes out at the bottom.



1 | First-principles (PBE) data for crystalline HfCo3H3 at its relaxed geometry, as listed in Alexandria via LeMat-Bulk.

## Properties
Theoretical density   10.05 g/cm3

```
data_HfCo3H3
_chemical_formula_sum 'Hf2 Co6 H6'
_symmetry_space_group_name_H-M 'P m -3 n'
_symmetry_Int_Tables_number 223
_symmetry_space_group_name_Hall '-P 4n 2 3'
_cell_length_a 4.910
_cell_length_b 4.910
_cell_length_c 4.910
_cell_angle_alpha 90.00
_cell_angle_beta 90.00
_cell_angle_gamma 90.00
loop_
_atom_site_label
_atom_site_type_symbol
_atom_site_fract_x
_atom_site_fract_y
_atom_site_fract_z
Hf1 Hf 0.000 0.000 0.000
Co1 Co 0.000 0.250 0.500
H1 H 0.000 0.500 0.250
```



2 | First-principles (PBE) data for crystalline HfCo3H3 at its relaxed geometry, as listed in Alexandria via LeMat-Bulk.

## Properties
Theoretical density   8.88 g/cm3

```
data_HfCo3H3
_chemical_formula_sum 'Hf8 Co24 H24'
_symmetry_space_group_name_H-M 'F m -3 m'
_symmetry_Int_Tables_number 225
_symmetry_space_group_name_Hall '-F 4 2 3'
_cell_length_a 8.122
_cell_length_b 8.122
_cell_length_c 8.122
_cell_angle_alpha 90.00
_cell_angle_beta 90.00
_cell_angle_gamma 90.00
loop_
_atom_site_label
_atom_site_type_symbol
_atom_site_fract_x
_atom_site_fract_y
_atom_site_fract_z
Hf1 Hf 0.250 0.250 0.250
Co1 Co 0.000 0.000 0.204
H1 H 0.000 0.000 0.381
```



Verdict on stability: 2 comes out at the bottom.



1 | First-principles (PBE) data for crystalline HfCo3H at its relaxed geometry, as listed in Alexandria via LeMat-Bulk.

## Properties
Theoretical density   11.30 g/cm3

```
data_HfCo3H
_chemical_formula_sum 'Hf2 Co6 H2'
_symmetry_space_group_name_H-M 'P 1 m 1'
_symmetry_Int_Tables_number 6
_symmetry_space_group_name_Hall 'P -2y'
_cell_length_a 5.193
_cell_length_b 3.880
_cell_length_c 5.198
_cell_angle_alpha 90.00
_cell_angle_beta 90.03
_cell_angle_gamma 90.00
loop_
_atom_site_label
_atom_site_type_symbol
_atom_site_fract_x
_atom_site_fract_y
_atom_site_fract_z
Hf1 Hf 0.000 0.000 0.000
Hf2 Hf 0.495 0.000 0.500
Co1 Co 0.245 0.500 0.251
Co2 Co 0.245 0.500 0.749
Co3 Co 0.499 0.000 0.000
Co4 Co 0.753 0.500 0.250
Co5 Co 0.753 0.500 0.751
Co6 Co 0.998 0.000 0.500
H1 H 0.499 0.500 0.000
H2 H 0.525 0.500 0.498
```



2 | First-principles (PBE) data for crystalline HfCo3H at its relaxed geometry, as listed in Alexandria via LeMat-Bulk.

## Properties
Theoretical density   10.15 g/cm3

```
data_HfCo3H
_chemical_formula_sum 'Hf4 Co12 H4'
_symmetry_space_group_name_H-M 'C m c m'
_symmetry_Int_Tables_number 63
_symmetry_space_group_name_Hall '-C 2c 2'
_cell_length_a 5.369
_cell_length_b 8.843
_cell_length_c 4.910
_cell_angle_alpha 90.00
_cell_angle_beta 90.00
_cell_angle_gamma 90.00
loop_
_atom_site_label
_atom_site_type_symbol
_atom_site_fract_x
_atom_site_fract_y
_atom_site_fract_z
Hf1 Hf 0.000 0.096 0.250
Co1 Co 0.000 0.500 0.000
Co2 Co 0.205 0.182 0.750
H1 H 0.000 0.364 0.250
```



Verdict on stability: 2 comes out at the bottom.



1 | First-principles (PBE) data for crystalline HfCo3H at its relaxed geometry, as listed in Alexandria via LeMat-Bulk.

## Properties
Theoretical density   10.29 g/cm3

```
data_HfCo3H
_chemical_formula_sum 'Hf2 Co6 H2'
_symmetry_space_group_name_H-M 'P 63/m m c'
_symmetry_Int_Tables_number 194
_symmetry_space_group_name_Hall '-P 6c 2c'
_cell_length_a 4.2347
_cell_length_b 4.2347
_cell_length_c 7.4072
_cell_angle_alpha 90.00
_cell_angle_beta 90.00
_cell_angle_gamma 120.00
loop_
_atom_site_label
_atom_site_type_symbol
_atom_site_fract_x
_atom_site_fract_y
_atom_site_fract_z
Hf1 Hf 0.3333 0.6667 0.2500
Co1 Co 0.0000 0.0000 0.2500
Co2 Co 0.3333 0.6667 0.5850
H1 H 0.0000 0.0000 0.0000
```



2 | First-principles (PBE) data for crystalline HfCo3H at its relaxed geometry, as listed in Alexandria via LeMat-Bulk.

## Properties
Theoretical density   8.25 g/cm3

```
data_HfCo3H
_chemical_formula_sum 'Hf1 Co3 H1'
_symmetry_space_group_name_H-M 'P 4 m m'
_symmetry_Int_Tables_number 99
_symmetry_space_group_name_Hall 'P 4 -2'
_cell_length_a 3.483
_cell_length_b 3.483
_cell_length_c 5.911
_cell_angle_alpha 90.00
_cell_angle_beta 90.00
_cell_angle_gamma 90.00
loop_
_atom_site_label
_atom_site_type_symbol
_atom_site_fract_x
_atom_site_fract_y
_atom_site_fract_z
Hf1 Hf 0.000 0.000 0.000
Co1 Co 0.000 0.000 0.580
Co2 Co 0.000 0.500 0.312
H1 H 0.500 0.500 0.359
```



3 | First-principles (PBE) data for crystalline HfCo3H at its relaxed geometry, as listed in Alexandria via LeMat-Bulk.

## Properties
Theoretical density   10.59 g/cm3

```
data_HfCo3H
_chemical_formula_sum 'Hf4 Co12 H4'
_symmetry_space_group_name_H-M 'P 1 21/c 1'
_symmetry_Int_Tables_number 14
_symmetry_space_group_name_Hall '-P 2ybc'
_cell_length_a 6.134
_cell_length_b 4.055
_cell_length_c 9.079
_cell_angle_alpha 90.00
_cell_angle_beta 98.39
_cell_angle_gamma 90.00
loop_
_atom_site_label
_atom_site_type_symbol
_atom_site_fract_x
_atom_site_fract_y
_atom_site_fract_z
Hf1 Hf 0.151 0.018 0.160
Co1 Co 0.154 0.030 0.448
Co2 Co 0.314 0.542 0.373
Co3 Co 0.469 0.549 0.145
H1 H 0.399 0.247 0.512
```



Verdict on stability: 2 comes out at the bottom.



1 | First-principles (PBE) data for crystalline HfCo3H at its relaxed geometry, as listed in Alexandria via LeMat-Bulk.

## Properties
Theoretical density   10.00 g/cm3

```
data_HfCo3H
_chemical_formula_sum 'Hf2 Co6 H2'
_symmetry_space_group_name_H-M 'P 63/m m c'
_symmetry_Int_Tables_number 194
_symmetry_space_group_name_Hall '-P 6c 2c'
_cell_length_a 2.9738
_cell_length_b 2.9738
_cell_length_c 15.4450
_cell_angle_alpha 90.00
_cell_angle_beta 90.00
_cell_angle_gamma 120.00
loop_
_atom_site_label
_atom_site_type_symbol
_atom_site_fract_x
_atom_site_fract_y
_atom_site_fract_z
Hf1 Hf 0.0000 0.0000 0.0000
Co1 Co 0.0000 0.0000 0.2500
Co2 Co 0.3333 0.6667 0.1290
H1 H 0.3333 0.6667 0.2500
```



2 | First-principles (PBE) data for crystalline HfCo3H at its relaxed geometry, as listed in Alexandria via LeMat-Bulk.

## Properties
Theoretical density   8.51 g/cm3

```
data_HfCo3H
_chemical_formula_sum 'Hf4 Co12 H4'
_symmetry_space_group_name_H-M 'C m c m'
_symmetry_Int_Tables_number 63
_symmetry_space_group_name_Hall '-C 2c 2'
_cell_length_a 4.634
_cell_length_b 13.395
_cell_length_c 4.482
_cell_angle_alpha 90.00
_cell_angle_beta 90.00
_cell_angle_gamma 90.00
loop_
_atom_site_label
_atom_site_type_symbol
_atom_site_fract_x
_atom_site_fract_y
_atom_site_fract_z
Hf1 Hf 0.000 0.195 0.250
Co1 Co 0.000 0.000 0.000
Co2 Co 0.245 0.369 0.250
H1 H 0.000 0.456 0.250
```



3 | First-principles (PBE) data for crystalline HfCo3H at its relaxed geometry, as listed in Alexandria via LeMat-Bulk.

## Properties
Theoretical density   11.31 g/cm3

```
data_HfCo3H
_chemical_formula_sum 'Hf2 Co6 H2'
_symmetry_space_group_name_H-M 'P 1 m 1'
_symmetry_Int_Tables_number 6
_symmetry_space_group_name_Hall 'P -2y'
_cell_length_a 5.328
_cell_length_b 3.688
_cell_length_c 5.328
_cell_angle_alpha 90.00
_cell_angle_beta 92.43
_cell_angle_gamma 90.00
loop_
_atom_site_label
_atom_site_type_symbol
_atom_site_fract_x
_atom_site_fract_y
_atom_site_fract_z
Hf1 Hf 0.000 0.000 0.000
Hf2 Hf 0.471 0.000 0.530
Co1 Co 0.234 0.500 0.267
Co2 Co 0.234 0.500 0.763
Co3 Co 0.492 0.000 0.021
Co4 Co 0.737 0.500 0.764
Co5 Co 0.739 0.500 0.268
Co6 Co 0.980 0.000 0.510
H1 H 0.486 0.500 0.018
H2 H 0.739 0.000 0.268
```



4 | First-principles (PBE) data for crystalline HfCo3H at its relaxed geometry, as listed in Alexandria via LeMat-Bulk.

## Properties
Theoretical density   10.12 g/cm3

```
data_HfCo3H
_chemical_formula_sum 'Hf4 Co12 H4'
_symmetry_space_group_name_H-M 'C 1 2/m 1'
_symmetry_Int_Tables_number 12
_symmetry_space_group_name_Hall '-C 2y'
_cell_length_a 13.169
_cell_length_b 3.575
_cell_length_c 5.067
_cell_angle_alpha 90.00
_cell_angle_beta 101.39
_cell_angle_gamma 90.00
loop_
_atom_site_label
_atom_site_type_symbol
_atom_site_fract_x
_atom_site_fract_y
_atom_site_fract_z
Hf1 Hf 0.082 0.000 0.291
Co1 Co 0.114 0.000 0.803
Co2 Co 0.197 0.500 0.093
Co3 Co 0.206 0.500 0.610
H1 H 0.098 0.500 0.789
```



Verdict on stability: 2 comes out at the bottom.



1 | First-principles (PBE) data for crystalline HfCo3H at its relaxed geometry, as listed in Alexandria via LeMat-Bulk.

## Properties
Theoretical density   7.83 g/cm3

```
data_HfCo3H
_chemical_formula_sum 'Hf4 Co12 H4'
_symmetry_space_group_name_H-M 'I -4 m 2'
_symmetry_Int_Tables_number 119
_symmetry_space_group_name_Hall 'I -4 -2'
_cell_length_a 4.043
_cell_length_b 4.043
_cell_length_c 18.485
_cell_angle_alpha 90.00
_cell_angle_beta 90.00
_cell_angle_gamma 90.00
loop_
_atom_site_label
_atom_site_type_symbol
_atom_site_fract_x
_atom_site_fract_y
_atom_site_fract_z
Hf1 Hf 0.000 0.000 0.000
Hf2 Hf 0.000 0.500 0.250
Co1 Co 0.000 0.000 0.434
Co2 Co 0.000 0.247 0.128
H1 H 0.000 0.500 0.558
```



2 | First-principles (PBE) data for crystalline HfCo3H at its relaxed geometry, as listed in Alexandria via LeMat-Bulk.

## Properties
Theoretical density   9.97 g/cm3

```
data_HfCo3H
_chemical_formula_sum 'Hf6 Co18 H6'
_symmetry_space_group_name_H-M 'R -3'
_symmetry_Int_Tables_number 148
_symmetry_space_group_name_Hall '-R 3'
_cell_length_a 4.6522
_cell_length_b 4.6522
_cell_length_c 18.9926
_cell_angle_alpha 90.00
_cell_angle_beta 90.00
_cell_angle_gamma 120.00
loop_
_atom_site_label
_atom_site_type_symbol
_atom_site_fract_x
_atom_site_fract_y
_atom_site_fract_z
Hf1 Hf 0.0000 0.0000 0.1545
Co1 Co 0.0039 0.6587 0.9462
H1 H 0.0000 0.0000 0.3348
```



3 | First-principles (PBE) data for crystalline HfCo3H at its relaxed geometry, as listed in Alexandria via LeMat-Bulk.

## Properties
Theoretical density   10.37 g/cm3

```
data_HfCo3H
_chemical_formula_sum 'Hf4 Co12 H4'
_symmetry_space_group_name_H-M 'C 1 2/m 1'
_symmetry_Int_Tables_number 12
_symmetry_space_group_name_Hall '-C 2y'
_cell_length_a 11.858
_cell_length_b 3.621
_cell_length_c 6.006
_cell_angle_alpha 90.00
_cell_angle_beta 117.77
_cell_angle_gamma 90.00
loop_
_atom_site_label
_atom_site_type_symbol
_atom_site_fract_x
_atom_site_fract_y
_atom_site_fract_z
Hf1 Hf 0.141 0.000 0.267
Co1 Co 0.060 0.500 0.891
Co2 Co 0.102 0.500 0.530
Co3 Co 0.195 0.000 0.819
H1 H 0.204 0.500 0.854
```



4 | First-principles (PBE) data for crystalline HfCo3H at its relaxed geometry, as listed in Alexandria via LeMat-Bulk.

## Properties
Theoretical density   10.51 g/cm3

```
data_HfCo3H
_chemical_formula_sum 'Hf4 Co12 H4'
_symmetry_space_group_name_H-M 'P n m a'
_symmetry_Int_Tables_number 62
_symmetry_space_group_name_Hall '-P 2ac 2n'
_cell_length_a 4.857
_cell_length_b 6.564
_cell_length_c 7.066
_cell_angle_alpha 90.00
_cell_angle_beta 90.00
_cell_angle_gamma 90.00
loop_
_atom_site_label
_atom_site_type_symbol
_atom_site_fract_x
_atom_site_fract_y
_atom_site_fract_z
Hf1 Hf 0.000 0.000 0.000
Co1 Co 0.018 0.082 0.352
Co2 Co 0.220 0.250 0.727
H1 H 0.070 0.750 0.425
```



Verdict on stability: 1 comes out at the bottom.



1 | First-principles (PBE) data for crystalline Hf2CoH2 at its relaxed geometry, as listed in Alexandria via LeMat-Bulk.

## Properties
Theoretical density   11.98 g/cm3

```
data_Hf2CoH2
_chemical_formula_sum 'Hf4 Co2 H4'
_symmetry_space_group_name_H-M 'I 4/m m m'
_symmetry_Int_Tables_number 139
_symmetry_space_group_name_Hall '-I 4 2'
_cell_length_a 3.127
_cell_length_b 3.127
_cell_length_c 11.847
_cell_angle_alpha 90.00
_cell_angle_beta 90.00
_cell_angle_gamma 90.00
loop_
_atom_site_label
_atom_site_type_symbol
_atom_site_fract_x
_atom_site_fract_y
_atom_site_fract_z
Hf1 Hf 0.000 0.000 0.135
Co1 Co 0.000 0.000 0.500
H1 H 0.000 0.500 0.250
```



2 | First-principles (PBE) data for crystalline Hf2CoH2 at its relaxed geometry, as listed in Alexandria via LeMat-Bulk.

## Properties
Theoretical density   11.63 g/cm3

```
data_Hf2CoH2
_chemical_formula_sum 'Hf2 Co1 H2'
_symmetry_space_group_name_H-M 'P 4/m m m'
_symmetry_Int_Tables_number 123
_symmetry_space_group_name_Hall '-P 4 2'
_cell_length_a 3.103
_cell_length_b 3.103
_cell_length_c 6.196
_cell_angle_alpha 90.00
_cell_angle_beta 90.00
_cell_angle_gamma 90.00
loop_
_atom_site_label
_atom_site_type_symbol
_atom_site_fract_x
_atom_site_fract_y
_atom_site_fract_z
Hf1 Hf 0.000 0.000 0.247
Co1 Co 0.500 0.500 0.500
H1 H 0.000 0.500 0.000
```



Verdict on stability: 2 comes out at the bottom.



1 | First-principles (PBE) data for crystalline Hf2InCoH at its relaxed geometry, as listed in Alexandria via LeMat-Bulk.

## Properties
Theoretical density   11.61 g/cm3

```
data_Hf2InCoH
_chemical_formula_sum 'Hf2 In1 Co1 H1'
_symmetry_space_group_name_H-M 'P 4/m m m'
_symmetry_Int_Tables_number 123
_symmetry_space_group_name_Hall '-P 4 2'
_cell_length_a 4.417
_cell_length_b 4.417
_cell_length_c 3.899
_cell_angle_alpha 90.00
_cell_angle_beta 90.00
_cell_angle_gamma 90.00
loop_
_atom_site_label
_atom_site_type_symbol
_atom_site_fract_x
_atom_site_fract_y
_atom_site_fract_z
Hf1 Hf 0.000 0.500 0.000
In1 In 0.000 0.000 0.500
Co1 Co 0.500 0.500 0.500
H1 H 0.500 0.500 0.000
```



2 | First-principles (PBE) data for crystalline Hf2InCoH at its relaxed geometry, as listed in Alexandria via LeMat-Bulk.

## Properties
Theoretical density   11.52 g/cm3

```
data_Hf2InCoH
_chemical_formula_sum 'Hf2 In1 Co1 H1'
_symmetry_space_group_name_H-M 'P 4/m m m'
_symmetry_Int_Tables_number 123
_symmetry_space_group_name_Hall '-P 4 2'
_cell_length_a 4.159
_cell_length_b 4.159
_cell_length_c 4.432
_cell_angle_alpha 90.00
_cell_angle_beta 90.00
_cell_angle_gamma 90.00
loop_
_atom_site_label
_atom_site_type_symbol
_atom_site_fract_x
_atom_site_fract_y
_atom_site_fract_z
Hf1 Hf 0.000 0.500 0.000
In1 In 0.000 0.000 0.500
Co1 Co 0.500 0.500 0.500
H1 H 0.000 0.000 0.000
```



Verdict on stability: 2 comes out at the bottom.